Na2ScFeO4 | PBE with a Hubbard U | relaxed

Calculated volume   11.41 Å³ per atom
Space group   No. 10
Total energy   -6.384 eV/atom

```
data_Na2ScFeO4
_cell_length_a 3.168
_cell_length_b 5.292
_cell_length_c 5.708
_cell_angle_alpha 107.41
_cell_angle_beta 90.00
_cell_angle_gamma 90.00
_space_group_name_H-M_alt 'P 1'
_space_group_IT_number 1
loop_
_space_group_symop_operation_xyz
'x,y,z'
loop_
_atom_site_label
_atom_site_type_symbol
_atom_site_fract_x
_atom_site_fract_y
_atom_site_fract_z
_atom_site_occupancy
Na1 Na 0.500 0.000 0.500 1
Na2 Na 0.000 0.500 0.500 1
Sc1 Sc 0.500 0.500 0.000 1
Fe1 Fe 0.000 0.000 0.000 1
O1 O 0.500 0.234 0.208 1
O2 O 0.500 0.766 0.792 1
O3 O 0.000 0.253 0.802 1
O4 O 0.000 0.747 0.198 1
```